Y3Co2: optimized geometry, PBE-GGA.

## Properties
**Energy relative to the elements**: 0.05 eV per atom
**Crystal system**: trigonal

```
Y3Co2
1.0
3.817 0.000 0.000
-1.908 3.305 0.000
0.000 0.000 28.838
Y Co
9 6
Direct
0.000 0.000 0.000
0.000 0.000 0.224
0.000 0.000 0.776
0.333 0.667 0.442
0.333 0.667 0.667
0.333 0.667 0.891
0.667 0.333 0.109
0.667 0.333 0.333
0.667 0.333 0.558
0.000 0.000 0.392
0.000 0.000 0.608
0.333 0.667 0.058
0.333 0.667 0.275
0.667 0.333 0.725
0.667 0.333 0.942
```



LiNiAs2: optimized geometry, PBE-GGA.

## Properties
**Energy relative to the elements**: -0.19 eV per atom
**Crystal system**: tetragonal

```
LiNiAs2
1.0
4.138 0.000 0.000
0.000 4.138 0.000
0.000 0.000 6.880
Li Ni As
2 2 4
Direct
0.000 0.000 0.000
0.500 0.500 0.500
0.000 0.000 0.500
0.500 0.500 0.000
0.000 0.500 0.250
0.000 0.500 0.750
0.500 0.000 0.250
0.500 0.000 0.750
```



TiMoS3: optimized geometry, PBE-GGA.

## Properties
**E_form (uncorrected)**: -103.7 kJ/mol of atoms
**Crystal system**: monoclinic

```
TiMoS3
1.0
6.135 0.000 0.000
0.000 3.274 0.000
-2.350 0.000 8.463
Ti Mo S
2 2 6
Direct
0.238 0.250 0.495
0.762 0.750 0.505
0.384 0.250 0.874
0.616 0.750 0.126
0.003 0.750 0.324
0.222 0.750 0.008
0.482 0.750 0.671
0.518 0.250 0.329
0.778 0.250 0.992
0.997 0.250 0.676
```



DOS(E_F) in states/eV/atom, matching the order above: 0.7516; 0.4100; 0.3504
Volume in Å³/atom, matching the order above: 24.25; 14.72; 17.00
Energy above the lowest structure with this stoichiometry in eV per formula unit, matching the order above: 1.11; 0.57; 0.00